The following is a PBE-GGA calculation of crystalline YVIn at its relaxed geometry, from the Alexandria database.

- Crystal system: hexagonal
- Calculated total energy: -6.13 eV/atom
- Magnetic moment: 0.001 μB/cell

abc: 4.899 6.980 6.980
angles: 120.00 90.00 90.00
Element x y z (fractional)
V 0.500 0.000 0.807
V 0.500 0.807 0.000
V 0.500 0.193 0.193
Y 0.000 0.000 0.440
Y 0.000 0.560 0.560
Y 0.000 0.440 0.000
In 0.000 0.000 0.000
In 0.500 0.333 0.667
In 0.500 0.667 0.333


The following is a PBE-GGA calculation of crystalline HfAlOsAu at its relaxed geometry, from the Alexandria database.

- Crystal system: cubic
- Calculated total energy: -7.43 eV/atom
- Magnetic moment: 0.000 μB/cell

abc: 4.565 4.565 4.565
angles: 60.00 60.00 60.00
Element x y z (fractional)
Os 0.750 0.750 0.750
Au 0.250 0.250 0.250
Hf 0.500 0.500 0.500
Al 0.000 0.000 0.000


The following is a PBE-GGA calculation of crystalline Na4MgIn4 at its relaxed geometry, from the Alexandria database.

- Crystal system: tetragonal
- Calculated total energy: -1.93 eV/atom
- Magnetic moment: 0.000 μB/cell

abc: 5.993 8.423 5.993
angles: 69.16 90.00 110.84
Element x y z (fractional)
In 0.381 0.376 0.005
In 0.619 0.624 0.381
In 0.995 0.376 0.619
In 0.005 0.624 0.995
Mg 0.000 0.000 0.000
Na 0.409 0.189 0.591
Na 0.221 0.811 0.409
Na 0.591 0.811 0.779
Na 0.779 0.189 0.221